No. 1
The following is a PBE calculation of an optimized crystal structure of As3IrPd, from Alexandria via LeMat-Bulk.

It has space group Pm-3m (No. 221), with a = 4.806 Å, b = 4.806 Å, c = 4.806 Å, α = 90.00°, β = 90.00° and γ = 90.00°. The distinct sites, in fractional coordinates, are As at (0.000, 0.000, 0.500), Ir at (0.000, 0.000, 0.000) and Pd at (0.500, 0.500, 0.500).

The calculated formation energy comes out at 716 meV per atom. As for the energy above the most stable polymorph in this dataset: 0 meV per atom. For the volume, the calculation gives 111 Å³/f.u. Its total energy is -4.884 eV per atom.

=====

No. 2
The following is a PBE calculation of an optimized crystal structure of AsBr2, from Alexandria via LeMat-Bulk.

It has space group Imma (No. 74), with a = 5.676 Å, b = 5.723 Å, c = 11.198 Å, α = 90.00°, β = 90.00° and γ = 90.00°. The distinct sites, in fractional coordinates, are As at (0.000, 0.250, 0.124), Br at (0.000, 0.250, 0.364) and Br at (0.000, 0.250, 0.887).

As for the energy above the most stable polymorph in this dataset: 148 meV per atom. For the volume, the calculation gives 91 Å³/f.u. Its total energy is -2.793 eV per atom. The formation energy from raw total energies comes out at -0.1280 eV/atom.

=====

No. 3
The following is a PBE calculation of an optimized crystal structure of Nd4Sn2Ir, from Alexandria via LeMat-Bulk.

It has space group C2/m (No. 12), with a = 11.711 Å, b = 4.691 Å, c = 8.929 Å, α = 90.00°, β = 121.95° and γ = 90.00°. The distinct sites, in fractional coordinates, are Nd at (0.074, 0.000, 0.355), Nd at (0.172, 0.500, 0.061), Sn at (0.144, 0.500, 0.658) and Ir at (0.000, 0.000, 0.000).

The calculated formation energy comes out at -673 meV per atom. For the volume, the calculation gives 208 Å³/f.u. Its total energy is -5.807 eV per atom.

=====

No. 4
The following is a PBE calculation of an optimized crystal structure of Mo2IrAu, from Alexandria via LeMat-Bulk.

It has space group Pmm2 (No. 25), with a = 2.809 Å, b = 4.510 Å, c = 4.955 Å, α = 90.00°, β = 90.00° and γ = 90.00°. The distinct sites, in fractional coordinates, are Mo at (0.000, 0.000, 0.000), Mo at (0.000, 0.500, 0.324), Ir at (0.500, 0.000, 0.487) and Au at (0.500, 0.500, 0.823).

The calculated formation energy comes out at -14 meV per atom. As for the energy above the most stable polymorph in this dataset: 0 meV per atom. For the volume, the calculation gives 63 Å³/f.u. Its total energy is -8.465 eV per atom.

=====

Number 1: total moment 0.0 μB/f.u.. Number 2: total moment 0.0 μB/f.u.. Number 3: total moment 0.0 μB/f.u.. Number 4: total moment 0.0 μB/f.u..